Density functional theory data (GGA-PBE) for LaAs3Os after structural relaxation.

As for the density of states at the Fermi level: 5.639 states/eV/cell. As for the magnetization: 0.00 μB per cell. The energy relative to the elements is -0.034 eV/atom.

a b c (Å): 4.8852 4.8852 4.8852
angles (deg): 90.00 90.00 90.00
Closest atoms and distances in Å follow each position.
Sites, in units of the cell vectors:
La1 0.0000 0.0000 0.0000  12 As 3.45
As1 0.0000 0.5000 0.5000  2 Os 2.44
As2 0.5000 0.0000 0.5000  2 Os 2.44
As3 0.5000 0.5000 0.0000  2 Os 2.44
Os1 0.5000 0.5000 0.5000  6 As 2.44


Density functional theory data (GGA-PBE) for LaAsOs after structural relaxation.

As for the density of states at the Fermi level: 3.606 states/eV/cell. As for the magnetization: 0.00 μB per cell. The energy relative to the elements is -0.526 eV/atom.

a b c (Å): 4.4821 4.4265 6.8588
angles (deg): 90.00 93.66 90.00
Closest atoms and distances in Å follow each position.
Sites, in units of the cell vectors:
La1 0.0000 0.0000 0.0000  4 Os 3.02-3.03, 4 As 3.14-3.26
La2 0.4633 0.0000 0.4831  4 Os 3.14-3.29, 6 As 3.23-3.36
As1 0.5639 0.5000 0.8260  3 Os 2.36-2.43
As2 0.9291 0.5000 0.3426  3 Os 2.50-2.59
Os1 0.0592 0.5000 0.7026  3 As 2.36-2.50
Os2 0.4061 0.5000 0.1574  3 As 2.42-2.59